# 1
Crystalline TbHo3Ru at its relaxed geometry. Source: Alexandria, functional PBE-GGA.

```
TbHo3Ru
1.0
4.841 0.000 0.000
0.000 9.684 0.000
-2.402 0.000 6.013
Tb Ho Ru
2 6 2
Direct
0.138 0.250 0.275 Tb
0.862 0.750 0.725 Tb
0.138 0.750 0.274 Ho
0.364 0.000 0.731 Ho
0.364 0.500 0.731 Ho
0.636 0.000 0.269 Ho
0.636 0.500 0.269 Ho
0.862 0.250 0.726 Ho
0.498 0.250 0.997 Ru
0.502 0.750 0.003 Ru
```

## Properties
- Crystal system: monoclinic
- Size of the total moment: 0.00 μB/cell
- DFT formation energy: -0.141 eV/atom

# 2
Crystalline Sc2PBr at its relaxed geometry. Source: Alexandria, functional PBE-GGA.

```
Sc2PBr
1.0
-3.002 3.002 6.001
3.002 -3.002 6.001
3.002 3.002 -6.001
Sc P Br
4 2 2
Direct
0.091 0.625 0.966 Sc
0.375 0.341 0.466 Sc
0.659 0.125 0.034 Sc
0.875 0.909 0.534 Sc
0.000 0.000 0.000 P
0.750 0.250 0.500 P
0.250 0.750 0.500 Br
0.500 0.500 0.000 Br
```

## Properties
- Crystal system: tetragonal
- Formation energy from raw total energies: -0.85 eV/atom
- Size of the total moment: 0.00 μB/cell

# 3
Crystalline LaTaInW2 at its relaxed geometry. Source: Alexandria, functional PBE-GGA.

```
LaTaInW2
1.0
4.941 0.000 0.000
0.000 4.941 0.000
0.000 0.000 5.443
La Ta In W
1 1 1 2
Direct
0.000 0.000 0.000 La
0.500 0.500 0.000 Ta
0.000 0.000 0.500 In
0.000 0.500 0.500 W
0.500 0.000 0.500 W
```

## Properties
- Crystal system: tetragonal
- Size of the total moment: 0.00 μB/cell
- DFT formation energy: 2.479 eV/atom

# 4
Crystalline Ti5VIr2Pt2 at its relaxed geometry. Source: Alexandria, functional PBE-GGA.

```
Ti5VIr2Pt2
1.0
10.759 0.000 0.000
0.000 10.759 0.000
0.000 0.000 2.892
Ti V Ir Pt
10 2 4 4
Direct
0.000 0.500 0.000 Ti
0.137 0.155 0.000 Ti
0.155 0.863 0.000 Ti
0.345 0.363 0.000 Ti
0.363 0.655 0.000 Ti
0.500 0.000 0.000 Ti
0.637 0.345 0.000 Ti
0.655 0.637 0.000 Ti
0.845 0.137 0.000 Ti
0.863 0.845 0.000 Ti
0.000 0.000 0.500 V
0.500 0.500 0.500 V
0.144 0.356 0.500 Ir
0.356 0.856 0.500 Ir
0.644 0.144 0.500 Ir
0.856 0.644 0.500 Ir
0.151 0.651 0.500 Pt
0.349 0.151 0.500 Pt
0.651 0.849 0.500 Pt
0.849 0.349 0.500 Pt
```

## Properties
- Crystal system: tetragonal
- Size of the total moment: 0.00 μB/cell
- DFT formation energy: -0.373 eV/atom

# 5
Crystalline Y2Er4Te9 at its relaxed geometry. Source: Alexandria, functional PBE-GGA.

```
Y2Er4Te9
1.0
7.654 0.000 0.000
-3.827 6.629 0.000
0.000 0.000 20.981
Y Er Te
4 8 18
Direct
0.000 0.000 0.157 Y
0.000 0.000 0.343 Y
0.000 0.000 0.657 Y
0.000 0.000 0.843 Y
0.333 0.667 0.176 Er
0.333 0.667 0.491 Er
0.333 0.667 0.676 Er
0.333 0.667 0.991 Er
0.667 0.333 0.009 Er
0.667 0.333 0.324 Er
0.667 0.333 0.509 Er
0.667 0.333 0.824 Er
0.000 0.317 0.250 Te
0.000 0.683 0.750 Te
0.018 0.355 0.583 Te
0.018 0.664 0.083 Te
0.317 0.000 0.250 Te
0.317 0.317 0.750 Te
0.336 0.355 0.083 Te
0.336 0.982 0.583 Te
0.355 0.018 0.917 Te
0.355 0.336 0.417 Te
0.645 0.664 0.583 Te
0.645 0.982 0.083 Te
0.664 0.018 0.417 Te
0.664 0.645 0.917 Te
0.683 0.000 0.750 Te
0.683 0.683 0.250 Te
0.982 0.336 0.917 Te
0.982 0.645 0.417 Te
```

## Properties
- Crystal system: trigonal
- Formation energy from raw total energies: -1.36 eV/atom
- Size of the total moment: 0.00 μB/cell

# 6
Crystalline La4RhAu2 at its relaxed geometry. Source: Alexandria, functional PBE-GGA.

```
La4RhAu2
1.0
13.060 0.000 0.000
0.000 4.081 0.000
0.000 0.000 15.371
La Rh Au
16 4 8
Direct
0.026 0.250 0.193 La
0.055 0.250 0.607 La
0.192 0.750 0.035 La
0.243 0.250 0.796 La
0.257 0.750 0.296 La
0.308 0.250 0.535 La
0.445 0.750 0.107 La
0.474 0.750 0.693 La
0.526 0.250 0.307 La
0.555 0.250 0.893 La
0.692 0.750 0.465 La
0.743 0.250 0.704 La
0.757 0.750 0.204 La
0.808 0.250 0.965 La
0.945 0.750 0.393 La
0.974 0.750 0.807 La
0.229 0.750 0.663 Rh
0.271 0.250 0.163 Rh
0.729 0.750 0.837 Rh
0.771 0.250 0.337 Rh
0.052 0.250 0.940 Au
0.119 0.250 0.402 Au
0.381 0.750 0.902 Au
0.448 0.750 0.440 Au
0.552 0.250 0.560 Au
0.619 0.250 0.098 Au
0.881 0.750 0.598 Au
0.948 0.750 0.060 Au
```

## Properties
- Crystal system: orthorhombic
- Size of the total moment: 0.00 μB/cell
- DFT formation energy: -0.649 eV/atom

Q: What is the size of the total moment in the fifth record?
A: 0.00 μB/cell

Q: Look up the size of the total moment of the sixth one.
A: 0.00 μB/cell